Computed, not measured: UMo13P9 after structural relaxation at the PBE-GGA level of DFT.

Cell lengths 10.878, 10.878, 3.306 Å; angles 90.00, 90.00, 120.00 degrees
Last column: magnetic moment on the atom in μB.
Atoms (fractional coordinates):
Mo 0.000 0.000 0.000  0.00
Mo 0.284 0.005 0.000  0.00
Mo 0.721 0.005 0.000  -0.01
Mo 0.284 0.279 0.000  -0.01
Mo 0.995 0.279 0.000  0.00
Mo 0.721 0.716 0.000  -0.01
Mo 0.995 0.716 0.000  0.00
Mo 0.526 0.053 0.500  -0.07
Mo 0.526 0.474 0.500  -0.07
Mo 0.947 0.474 0.500  -0.07
Mo 0.241 0.482 0.500  0.00
Mo 0.241 0.759 0.500  0.00
Mo 0.518 0.759 0.500  0.00
P 0.132 0.566 0.000  0.00
P 0.434 0.566 0.000  0.00
P 0.434 0.868 0.000  0.00
P 0.097 0.194 0.500  0.00
P 0.412 0.206 0.500  -0.01
P 0.794 0.206 0.500  -0.01
P 0.794 0.588 0.500  -0.01
P 0.097 0.903 0.500  0.00
P 0.806 0.903 0.500  0.00
U 0.667 0.333 0.000  1.56

Values from the calculation:
M_tot = 1.401 μB per cell
Mass density = 8.65 g cm⁻³
Energy = -9.2908 eV per atom